# 1
# LiPuTh

LiPuTh after structural relaxation (PBE-GGA, the Alexandria database).

Properties
The energy above the most stable polymorph in this dataset comes out at 0 meV per atom. For the total magnetization, the calculation gives 5.77 μB per formula unit. The energy relative to the elements comes out at 0.269 eV/atom.

Cell lengths 3.4900, 3.4900, 6.9068 Å; angles 104.63, 104.63, 90.00 degrees
Atoms (fractional coordinates):
Li (0.9958, 0.9958, 0.9916)
Th (0.6627, 0.6627, 0.3254)
Pu (0.3415, 0.3415, 0.6830)

=====

# 2
# LiPuTh

LiPuTh after structural relaxation (PBE-GGA, the Alexandria database).

Properties
The energy above the most stable polymorph in this dataset comes out at 169 meV per atom. For the total magnetization, the calculation gives 0.00 μB per formula unit. The energy relative to the elements comes out at 0.438 eV/atom.

Cell lengths 3.4341, 6.6495, 7.7330 Å; angles 59.37, 90.00, 104.96 degrees
Atoms (fractional coordinates):
Th (0.1236, 0.2471, 0.7630)
Th (0.8764, 0.7529, 0.2370)
Li (0.3983, 0.7965, 0.5732)
Li (0.6017, 0.2035, 0.4268)
Pu (0.1810, 0.3621, 0.0614)
Pu (0.8190, 0.6379, 0.9386)

=====

# 3
# LiPuTl2

LiPuTl2 after structural relaxation (PBE-GGA, the Alexandria database).

Properties
For the total magnetization, the calculation gives 6.06 μB per formula unit. The energy relative to the elements comes out at -0.015 eV/atom.

Cell lengths 3.3723, 3.3723, 10.4795 Å; angles 80.72, 80.72, 60.02 degrees
Atoms (fractional coordinates):
Li (0.6666, 0.6666, 0.9999)
Pu (0.5002, 0.5002, 0.5002)
Tl (0.0755, 0.0755, 0.7734)
Tl (0.2578, 0.2578, 0.2265)

=====

# 4
# LiPu2Tl6

LiPu2Tl6 after structural relaxation (PBE-GGA, the Alexandria database).

Properties
The energy above the most stable polymorph in this dataset comes out at 22 meV per atom. For the total magnetization, the calculation gives 12.13 μB per formula unit. The energy relative to the elements comes out at 0.031 eV/atom.

Cell lengths 3.4669, 9.0956, 9.0956 Å; angles 120.00, 90.00, 90.00 degrees
Atoms (fractional coordinates):
Li (0.5000, 0.0000, 0.0000)
Pu (0.0000, 0.3333, 0.6667)
Pu (0.0000, 0.6667, 0.3333)
Tl (0.0000, 0.7246, 0.0000)
Tl (0.0000, 0.0000, 0.7246)
Tl (0.0000, 0.2754, 0.2754)
Tl (0.5000, 0.6331, 0.6331)
Tl (0.5000, 0.0000, 0.3669)
Tl (0.5000, 0.3669, 0.0000)

=====

# 5
# LiPuTl2

LiPuTl2 after structural relaxation (PBE-GGA, the Alexandria database).

Properties
For the total magnetization, the calculation gives 6.38 μB per formula unit. The energy relative to the elements comes out at 0.150 eV/atom.

Cell lengths 3.3277, 3.3277, 11.4583 Å; angles 81.65, 81.65, 60.00 degrees
Atoms (fractional coordinates):
Tl (0.0965, 0.0965, 0.7106)
Tl (0.9035, 0.9035, 0.2894)
Li (0.5000, 0.5000, 0.5000)
Pu (0.0000, 0.0000, 0.0000)

=====

# 6
# LiPuTl5

LiPuTl5 after structural relaxation (PBE-GGA, the Alexandria database).

Properties
The energy above the most stable polymorph in this dataset comes out at 0 meV per atom. For the total magnetization, the calculation gives 5.89 μB per formula unit. The energy relative to the elements comes out at -0.050 eV/atom.

Cell lengths 4.8907, 4.8907, 7.8537 Å; angles 90.00, 90.00, 90.00 degrees
Atoms (fractional coordinates):
Li (0.0000, 0.0000, 0.5000)
Pu (0.0000, 0.0000, 0.0000)
Tl (0.5000, 0.0000, 0.7058)
Tl (0.0000, 0.5000, 0.7058)
Tl (0.5000, 0.5000, 0.0000)
Tl (0.0000, 0.5000, 0.2942)
Tl (0.5000, 0.0000, 0.2942)

=====

# 7
# LiPuTl2

LiPuTl2 after structural relaxation (PBE-GGA, the Alexandria database).

Properties
For the total magnetization, the calculation gives 6.06 μB per formula unit. The energy relative to the elements comes out at -0.132 eV/atom.

Cell lengths 3.4321, 3.4321, 8.0984 Å; angles 90.00, 90.00, 90.00 degrees
Atoms (fractional coordinates):
Tl (0.0000, 0.0000, 0.7879)
Tl (0.0000, 0.0000, 0.2121)
Li (0.5000, 0.5000, 0.0000)
Pu (0.5000, 0.5000, 0.5000)

=====

# 8
# Li2PuTl

Li2PuTl after structural relaxation (PBE-GGA, the Alexandria database).

Properties
For the total magnetization, the calculation gives 6.13 μB per formula unit. The energy relative to the elements comes out at 0.205 eV/atom.

Cell lengths 3.2369, 3.2369, 11.5536 Å; angles 81.95, 81.95, 60.00 degrees
Atoms (fractional coordinates):
Tl (0.0000, 0.0000, 0.0000)
Li (0.0845, 0.0845, 0.7466)
Li (0.9155, 0.9155, 0.2534)
Pu (0.5000, 0.5000, 0.5000)

=====

# 9
# LiPu2Tl4

LiPu2Tl4 after structural relaxation (PBE-GGA, the Alexandria database).

Properties
For the total magnetization, the calculation gives 11.95 μB per formula unit. The energy relative to the elements comes out at -0.035 eV/atom.

Cell lengths 4.7691, 4.7691, 8.6688 Å; angles 105.97, 105.97, 90.00 degrees
Atoms (fractional coordinates):
Li (0.0000, 0.0000, 0.0000)
Pu (0.7550, 0.7550, 0.5100)
Pu (0.2450, 0.2450, 0.4900)
Tl (0.4004, 0.9004, 0.8008)
Tl (0.9004, 0.4004, 0.8008)
Tl (0.5996, 0.0996, 0.1992)
Tl (0.0996, 0.5996, 0.1992)

=====

# 10
# LiPu2Tl8

LiPu2Tl8 after structural relaxation (PBE-GGA, the Alexandria database).

Properties
For the total magnetization, the calculation gives 11.81 μB per formula unit. The energy relative to the elements comes out at -0.046 eV/atom.

Cell lengths 4.8677, 4.8677, 12.5667 Å; angles 90.00, 90.00, 90.00 degrees
Atoms (fractional coordinates):
Li (0.0000, 0.0000, 0.0000)
Pu (0.0000, 0.0000, 0.3129)
Pu (0.0000, 0.0000, 0.6871)
Tl (0.0000, 0.5000, 0.5000)
Tl (0.5000, 0.0000, 0.5000)
Tl (0.5000, 0.5000, 0.3124)
Tl (0.5000, 0.5000, 0.6876)
Tl (0.0000, 0.5000, 0.1282)
Tl (0.5000, 0.0000, 0.1282)
Tl (0.0000, 0.5000, 0.8718)
Tl (0.5000, 0.0000, 0.8718)

=====

# 11
# LiPuTl4

LiPuTl4 after structural relaxation (PBE-GGA, the Alexandria database).

Properties
The energy above the most stable polymorph in this dataset comes out at 17 meV per atom. For the total magnetization, the calculation gives 6.19 μB per formula unit. The energy relative to the elements comes out at -0.028 eV/atom.

Cell lengths 3.3547, 6.6143, 8.7138 Å; angles 115.14, 78.90, 75.31 degrees
Atoms (fractional coordinates):
Li (0.0000, 0.0000, 0.0000)
Pu (0.5000, 0.5000, 0.5000)
Tl (0.7980, 0.5495, 0.8544)
Tl (0.3584, 0.9714, 0.3119)
Tl (0.2020, 0.4505, 0.1456)
Tl (0.6416, 0.0286, 0.6881)

=====

# 12
# LiPu4Tl5

LiPu4Tl5 after structural relaxation (PBE-GGA, the Alexandria database).

Properties
For the total magnetization, the calculation gives 0.12 μB per formula unit. The energy relative to the elements comes out at -0.073 eV/atom.

Cell lengths 3.3412, 3.3412, 22.8531 Å; angles 90.00, 90.00, 90.00 degrees
Atoms (fractional coordinates):
Li (0.0000, 0.0000, 0.0000)
Pu (0.0000, 0.0000, 0.1823)
Pu (0.0000, 0.0000, 0.3946)
Pu (0.0000, 0.0000, 0.6054)
Pu (0.0000, 0.0000, 0.8177)
Tl (0.5000, 0.5000, 0.0771)
Tl (0.5000, 0.5000, 0.2881)
Tl (0.5000, 0.5000, 0.5000)
Tl (0.5000, 0.5000, 0.7119)
Tl (0.5000, 0.5000, 0.9229)

=====

# 13
# LiPuTl3

LiPuTl3 after structural relaxation (PBE-GGA, the Alexandria database).

Properties
For the total magnetization, the calculation gives 5.93 μB per formula unit. The energy relative to the elements comes out at -0.001 eV/atom.

Cell lengths 4.9431, 7.2232, 7.2933 Å; angles 90.00, 90.00, 90.00 degrees
Atoms (fractional coordinates):
Li (0.7500, 0.7500, 0.4374)
Li (0.2500, 0.2500, 0.5626)
Pu (0.7500, 0.2500, 0.2203)
Pu (0.2500, 0.7500, 0.7797)
Tl (0.7500, 0.7500, 0.0677)
Tl (0.2500, 0.2500, 0.9323)
Tl (0.7500, 0.0380, 0.6873)
Tl (0.7500, 0.4620, 0.6873)
Tl (0.2500, 0.9620, 0.3127)
Tl (0.2500, 0.5380, 0.3127)

=====

Number 1: raw total energy -7.6199 eV/atom. Number 2: raw total energy -7.4507 eV/atom. Number 3: raw total energy -5.2593 eV/atom. Number 4: raw total energy -4.9436 eV/atom. Number 5: raw total energy -5.0945 eV/atom. Number 6: raw total energy -4.0613 eV/atom. Number 7: raw total energy -5.3771 eV/atom. Number 8: raw total energy -4.9263 eV/atom. Number 9: raw total energy -5.7553 eV/atom. Number 10: raw total energy -4.5470 eV/atom. Number 11: raw total energy -4.3129 eV/atom. Number 12: raw total energy -7.1800 eV/atom. Number 13: raw total energy -4.6698 eV/atom.